No. 1
Here is a geometry-optimized Y2MoPt structure from the Alexandria database. Energies are from PBE-GGA.

The calculation puts the total moment at 1.44 Bohr magnetons per cell. For the relative energy among the computed polymorphs, the calculation gives 2.12 eV per formula unit. The total energy is -86.83 eV for the cell shown.

The structure belongs to space group R3m (No. 160, hexagonal axes); the cell edges are 3.4971, 3.4971 and 27.7400 Å and the angles 90.00°, 90.00° and 120.00°. The asymmetric unit holds Y at (0.0000, 0.0000, 0.0000), Y at (0.0000, 0.0000, 0.2156), Mo at (0.0000, 0.0000, 0.7493) and Pt at (0.0000, 0.0000, 0.4774).

---

No. 2
Here is a geometry-optimized Sr4Cd5Ge2 structure from the Alexandria database. Energies are from PBE-GGA.

The calculation puts the total moment at 0.00 Bohr magnetons per cell. The total energy is -24.40 eV for the cell shown.

The structure belongs to space group P2/m (No. 10); the cell edges are 7.7050, 4.7324 and 9.1410 Å and the angles 90.00°, 90.19° and 90.00°. The asymmetric unit holds Sr at (0.2088, 0.0000, 0.3480), Sr at (0.2324, 0.0000, 0.9015), Cd at (0.1438, 0.5000, 0.6211), Cd at (0.4333, 0.5000, 0.1492), Cd at (0.5000, 0.5000, 0.5000) and Ge at (0.0665, 0.5000, 0.1290).

---

No. 3
Here is a geometry-optimized Tb7Sm3Tm structure from the Alexandria database. Energies are from PBE-GGA.

The calculation puts the total moment at 0.00 Bohr magnetons per cell. For the relative energy among the computed polymorphs, the calculation gives 0.42 eV per formula unit. The total energy is -49.09 eV for the cell shown.

The structure belongs to space group P3m1 (No. 156); the cell edges are 7.0766, 7.0766 and 8.6464 Å and the angles 90.00°, 90.00° and 120.00°. The asymmetric unit holds Tb at (0.0000, 0.0000, 0.0000), Tb at (0.1658, 0.3315, 0.6738), Tb at (0.5010, 0.0019, 0.0029), Sm at (0.3336, 0.1668, 0.3392) and Tm at (0.6667, 0.3333, 0.6775).

---

No. 4
Here is a geometry-optimized LaScAl2Ru structure from the Alexandria database. Energies are from PBE-GGA.

The calculation puts the total moment at 0.00 Bohr magnetons per cell. For the relative energy among the computed polymorphs, the calculation gives 0.00 eV per formula unit. The total energy is -30.09 eV for the cell shown.

The structure belongs to space group P4/mmm (No. 123); the cell edges are 4.8322, 4.8322 and 4.8601 Å and the angles 90.00°, 90.00° and 90.00°. The asymmetric unit holds La at (0.0000, 0.0000, 0.0000), Sc at (0.5000, 0.5000, 0.0000), Al at (0.0000, 0.5000, 0.5000) and Ru at (0.5000, 0.5000, 0.5000).

---

No. 5
Here is a geometry-optimized Hg3GeIr structure from the Alexandria database. Energies are from PBE-GGA.

The calculation puts the total moment at 1.72 Bohr magnetons per cell. The total energy is -8.29 eV for the cell shown.

The structure belongs to space group Pm-3m (No. 221); the cell edges are 5.1381, 5.1381 and 5.1381 Å and the angles 90.00°, 90.00° and 90.00°. The asymmetric unit holds Hg at (0.0000, 0.0000, 0.5000), Ge at (0.0000, 0.0000, 0.0000) and Ir at (0.5000, 0.5000, 0.5000).

---

No. 6
Here is a geometry-optimized NdSmCuAg structure from the Alexandria database. Energies are from PBE-GGA.

The calculation puts the total moment at 0.00 Bohr magnetons per cell. For the relative energy among the computed polymorphs, the calculation gives 0.10 eV per formula unit. The total energy is -68.77 eV for the cell shown.

The structure belongs to space group F-43m (No. 216); the cell edges are 7.3285, 7.3285 and 7.3285 Å and the angles 90.00°, 90.00° and 90.00°. The asymmetric unit holds Nd at (0.0000, 0.0000, 0.0000), Sm at (0.0000, 0.0000, 0.5000), Cu at (0.2500, 0.2500, 0.7500) and Ag at (0.2500, 0.2500, 0.2500).

---

No. 7
Here is a geometry-optimized Li3Ag4Br8 structure from the Alexandria database. Energies are from PBE-GGA.

The calculation puts the total moment at 0.00 Bohr magnetons per cell. The total energy is -83.99 eV for the cell shown. As for the formation energy without anion corrections: -0.764 eV per atom.

The structure belongs to space group C2/m (No. 12); the cell edges are 11.1814, 11.4927 and 7.9168 Å and the angles 90.00°, 134.22° and 90.00°. The asymmetric unit holds Li at (0.0000, 0.0000, 0.0000), Li at (0.2500, 0.2500, 0.0000), Ag at (0.0000, 0.0000, 0.5000), Ag at (0.0000, 0.5000, 0.0000), Ag at (0.2500, 0.2500, 0.5000), Br at (0.0000, 0.2420, 0.0000), Br at (0.0000, 0.2575, 0.5000), Br at (0.2389, 0.0000, 0.9848) and Br at (0.2461, 0.0000, 0.4892).

---

No. 8
Here is a geometry-optimized Co3MoP structure from the Alexandria database. Energies are from PBE-GGA.

The calculation puts the total moment at 5.09 Bohr magnetons per cell. For the relative energy among the computed polymorphs, the calculation gives 0.00 eV per formula unit. The total energy is -35.14 eV for the cell shown.

The structure belongs to space group Pm-3m (No. 221); the cell edges are 4.0912, 4.0912 and 4.0912 Å and the angles 90.00°, 90.00° and 90.00°. The asymmetric unit holds Co at (0.0000, 0.0000, 0.5000), Mo at (0.5000, 0.5000, 0.5000) and P at (0.0000, 0.0000, 0.0000).

---

No. 9
Here is a geometry-optimized PmSi2PdPt2 structure from the Alexandria database. Energies are from PBE-GGA.

The calculation puts the total moment at 0.00 Bohr magnetons per cell. The total energy is -38.68 eV for the cell shown. As for the formation energy without anion corrections: -0.969 eV per atom.

The structure belongs to space group P-3m1 (No. 164); the cell edges are 4.2144, 4.2144 and 6.8904 Å and the angles 90.00°, 90.00° and 120.00°. The asymmetric unit holds Pm at (0.0000, 0.0000, 0.0000), Si at (0.3333, 0.6667, 0.3197), Pd at (0.0000, 0.0000, 0.5000) and Pt at (0.3333, 0.6667, 0.7077).

---

No. 10
Here is a geometry-optimized Cd2InHg structure from the Alexandria database. Energies are from PBE-GGA.

The calculation puts the total moment at 0.00 Bohr magnetons per cell. For the relative energy among the computed polymorphs, the calculation gives 0.04 eV per formula unit. The total energy is -4.75 eV for the cell shown.

The structure belongs to space group Pm (No. 6); the cell edges are 3.3825, 5.0074 and 6.1187 Å and the angles 90.00°, 106.03° and 90.00°. The asymmetric unit holds Cd at (0.0000, 0.0000, 0.0000), Cd at (0.4323, 0.5000, 0.8504), In at (0.7879, 0.0000, 0.4880) and Hg at (0.2081, 0.5000, 0.3271).

---

No. 11
Here is a geometry-optimized Tb4Te5S structure from the Alexandria database. Energies are from PBE-GGA.

The calculation puts the total moment at 0.00 Bohr magnetons per cell. The total energy is -105.08 eV for the cell shown. As for the formation energy without anion corrections: -1.418 eV per atom.

The structure belongs to space group C2/m (No. 12); the cell edges are 18.7250, 4.2644 and 8.5946 Å and the angles 90.00°, 103.21° and 90.00°. The asymmetric unit holds Tb at (0.0014, 0.0000, 0.2438), Tb at (0.1653, 0.5000, 0.0892), Te at (0.0000, 0.5000, 0.5000), Te at (0.1640, 0.0000, 0.3356), Te at (0.1655, 0.0000, 0.8275) and S at (0.0000, 0.5000, 0.0000).

---

No. 12
Here is a geometry-optimized Cr2SbPtS structure from the Alexandria database. Energies are from PBE-GGA.

The calculation puts the total moment at 7.46 Bohr magnetons per cell. The total energy is -26.79 eV for the cell shown. As for the formation energy without anion corrections: 1.350 eV per atom.

The structure belongs to space group P4/mmm (No. 123); the cell edges are 5.0849, 5.0849 and 4.9238 Å and the angles 90.00°, 90.00° and 90.00°. The asymmetric unit holds Cr at (0.0000, 0.5000, 0.0000), Sb at (0.0000, 0.0000, 0.0000), Pt at (0.5000, 0.5000, 0.5000) and S at (0.0000, 0.0000, 0.5000).